Record 1
HoInB2Rh5 (GGA-PBE, relaxed); space-group type = P4/mmm, No. 123; energy of formation from the pure elements = -0.52 eV/atom
1.0
4.178 0.000 0.000
0.000 4.178 0.000
0.000 0.000 7.777
B Rh Ho In
2 5 1 1
Direct
0.500 0.500 0.221
0.500 0.500 0.779
0.500 0.000 0.768
0.000 0.500 0.768
0.500 0.500 0.500
0.500 0.000 0.232
0.000 0.500 0.232
0.000 0.000 0.500
0.000 0.000 0.000

Record 2
KSi2Te8P (GGA-PBE, relaxed); space-group type = R-3, No. 148; E = -3.498 eV per atom
1.0
6.306 0.000 0.000
3.153 5.461 0.000
3.153 1.820 12.903
Si Te P K
2 8 1 1
Direct
0.258 0.258 0.226
0.742 0.742 0.774
0.712 0.109 0.846
0.109 0.334 0.846
0.805 0.805 0.586
0.288 0.891 0.154
0.666 0.288 0.154
0.334 0.712 0.846
0.195 0.195 0.414
0.891 0.666 0.154
0.000 0.000 0.000
0.500 0.500 0.500

Record 3
BaCd10Pt2 (GGA-PBE, relaxed); space-group type = Fmmm, No. 69; energy of formation from the pure elements = -0.23 eV/atom
1.0
-2.716 -0.985 4.925
-6.394 -4.273 -1.070
2.496 -6.491 3.389
Cd Ba Pt
10 1 2
Direct
0.500 0.000 0.500
0.491 0.229 0.789
0.017 0.633 0.332
0.000 0.000 0.500
0.280 0.229 0.211
0.720 0.771 0.789
0.349 0.633 0.668
0.651 0.367 0.332
0.509 0.771 0.211
0.983 0.367 0.668
0.000 0.000 0.000
0.500 0.500 0.000
0.000 0.500 0.000

Record 4
DyHoTmTh (GGA-PBE, relaxed); space-group type = R3m, No. 160; energy of formation from the pure elements = 0.00 eV/atom; distance to the lowest polymorph of the same formula = 0 meV/atom
1.0
3.570 -0.001 0.000
-1.785 3.092 0.002
-1.784 -1.039 11.335
Th Tm Dy Ho
1 1 1 1
Direct
0.303 0.549 0.868
0.135 0.966 0.115
0.471 0.133 0.620
0.969 0.383 0.367

Record 5
TlIn2TePt (GGA-PBE, relaxed); space-group type = P4/mmm, No. 123; E = -3.659 eV per atom
1.0
-3.612 1.158 3.649
-3.687 -2.401 -2.889
1.048 -4.622 2.504
In Tl Pt Te
2 1 1 1
Direct
0.000 0.500 0.000
0.500 0.000 0.000
0.000 0.000 0.500
0.000 0.000 0.000
0.500 0.500 0.500

Record 6
PrTmNb (GGA-PBE, relaxed); space-group type = P4/nmm, No. 129; energy of formation from the pure elements = 0.08 eV/atom
1.0
-1.723 -2.815 -1.275
0.065 -1.493 3.207
-11.650 5.800 2.937
Nb Pr Tm
2 2 2
Direct
0.500 0.000 0.047
0.000 0.500 0.953
0.500 0.000 0.398
0.000 0.500 0.602
0.500 0.000 0.807
0.000 0.500 0.193

Record 7
InCuPb2 (GGA-PBE, relaxed); space-group type = R3m, No. 160; energy of formation from the pure elements = 0.14 eV/atom
1.0
10.153 0.084 0.050
9.535 3.490 0.050
9.535 1.731 3.031
Cu Pb In
1 2 1
Direct
0.496 0.496 0.496
0.004 0.004 0.004
0.233 0.233 0.233
0.767 0.767 0.767

Record 8
Cs2Ca2RuO6 (GGA-PBE, relaxed); space-group type = C2/m, No. 12; E = -5.834 eV per atom
1.0
-2.811 -3.689 3.538
4.635 -1.913 -2.980
3.501 3.652 4.994
O Ru Ca Cs
6 1 2 2
Direct
0.334 0.049 0.658
0.666 0.951 0.342
0.951 0.666 0.342
0.227 0.227 0.339
0.049 0.334 0.658
0.773 0.773 0.661
0.000 0.000 0.500
0.664 0.336 0.500
0.336 0.664 0.500
0.168 0.832 0.000
0.832 0.168 0.000

Record 9
KCa2SnBr8 (GGA-PBE, relaxed); space-group type = P2/m, No. 10; E = -3.342 eV per atom
1.0
-1.430 -4.564 -5.146
6.419 -1.959 -0.129
-1.815 -6.365 6.148
Br Sn Ca K
8 1 2 1
Direct
0.363 0.274 0.500
0.158 0.755 0.220
0.664 0.744 0.000
0.637 0.726 0.500
0.842 0.245 0.780
0.159 0.755 0.780
0.336 0.256 0.000
0.841 0.245 0.220
0.000 0.000 0.000
0.500 0.500 0.748
0.500 0.500 0.252
0.000 0.000 0.500

Record 10
I2Br (GGA-PBE, relaxed); space-group type = P1, No. 1; distance to the lowest polymorph of the same formula = 37 meV/atom
1.0
6.605 0.202 0.067
1.065 6.957 0.084
0.314 3.572 7.707
Br I
2 4
Direct
0.424 0.997 0.176
0.387 0.838 0.745
0.491 0.213 0.591
0.190 0.361 0.939
0.935 0.498 0.171
0.674 0.636 0.417

Record 11
MnHPd3 (GGA-PBE, relaxed); space-group type = C2/m, No. 12; distance to the lowest polymorph of the same formula = 353 meV/atom
1.0
-9.103 14.661 -4.219
-5.940 4.251 -0.829
5.075 -4.027 3.475
Pd H Mn
6 2 2
Direct
0.530 0.296 0.704
0.274 0.749 0.251
0.726 0.251 0.749
0.470 0.704 0.296
0.121 0.266 0.734
0.879 0.734 0.266
0.395 0.024 0.976
0.605 0.976 0.024
0.090 0.113 0.887
0.910 0.887 0.113

Record 12
BaSn2Ge2 (GGA-PBE, relaxed); space-group type = P4/mbm, No. 127; energy of formation from the pure elements = -0.22 eV/atom; distance to the lowest polymorph of the same formula = 65 meV/atom
1.0
-8.110 -1.613 1.604
1.016 -7.882 -2.788
0.987 -1.208 3.777
Sn Ge Ba
4 4 2
Direct
0.142 0.642 0.500
0.358 0.142 0.500
0.642 0.858 0.500
0.858 0.358 0.500
0.386 0.886 0.000
0.614 0.114 0.000
0.114 0.386 0.000
0.886 0.614 0.000
0.000 0.000 0.000
0.500 0.500 0.000

Record 13
HfSeBr2 (GGA-PBE, relaxed); space-group type = I-42d, No. 122; distance to the lowest polymorph of the same formula = 0 meV/atom
1.0
9.797 0.000 0.000
0.000 9.797 0.000
4.899 4.899 2.541
Hf Se Br
2 2 4
Direct
0.750 0.250 0.500
0.000 0.000 0.000
0.500 0.500 0.000
0.250 0.750 0.500
0.766 0.125 0.250
0.875 0.016 0.750
0.984 0.625 0.250
0.375 0.234 0.750

Record 14
CuGeSe2 (GGA-PBE, relaxed); space-group type = P3m1, No. 156; E = -4.037 eV per atom
1.0
-0.222 -4.026 -1.189
-0.802 1.061 3.988
-6.137 0.764 -1.437
Se Cu Ge
2 1 1
Direct
0.667 0.333 0.866
0.000 0.000 0.398
0.667 0.333 0.475
0.000 0.000 0.012

Record 15
SmPaPdPt (GGA-PBE, relaxed); space-group type = F-43m, No. 216; energy of formation from the pure elements = -0.69 eV/atom
1.0
-1.471 -0.133 4.785
2.484 -2.826 3.306
2.800 2.167 3.542
Pt Sm Pd Pa
1 1 1 1
Direct
0.750 0.750 0.750
0.000 0.000 0.000
0.250 0.250 0.250
0.500 0.500 0.500

Record 16
SrIn2Se2 (GGA-PBE, relaxed); space-group type = I4/mmm, No. 139; distance to the lowest polymorph of the same formula = 76 meV/atom
1.0
5.597 0.000 0.000
0.000 5.597 0.000
2.798 2.798 4.699
In Se Sr
2 2 1
Direct
0.653 0.653 0.695
0.347 0.347 0.305
0.250 0.750 0.500
0.750 0.250 0.500
0.000 0.000 0.000

Record 17
Tb6SmEr2 (GGA-PBE, relaxed); space-group type = C2/c, No. 15; energy of formation from the pure elements = 0.11 eV/atom; distance to the lowest polymorph of the same formula = 91 meV/atom
1.0
6.572 -0.128 -0.124
1.677 9.364 -0.812
1.677 -0.508 9.385
Er Tb Sm
4 12 2
Direct
0.366 0.337 0.383
0.634 0.663 0.617
0.134 0.617 0.663
0.866 0.383 0.337
0.321 0.778 0.951
0.726 0.061 0.462
0.821 0.951 0.778
0.774 0.538 0.939
0.497 0.352 0.720
0.679 0.222 0.049
0.997 0.720 0.352
0.003 0.280 0.648
0.179 0.049 0.222
0.226 0.462 0.061
0.503 0.648 0.280
0.274 0.939 0.538
0.250 0.121 0.879
0.750 0.879 0.121

Record 18
PmNd2 (GGA-PBE, relaxed); space-group type = I4/mmm, No. 139; energy of formation from the pure elements = 0.01 eV/atom; distance to the lowest polymorph of the same formula = 0 meV/atom
1.0
3.671 0.000 0.000
0.000 3.671 0.000
-1.836 -1.836 7.801
Nd Pm
2 1
Direct
0.666 0.666 0.332
0.334 0.334 0.668
0.000 0.000 0.000

Record 19
Ac2DyPb3 (GGA-PBE, relaxed); space-group type = C2/c, No. 15; energy of formation from the pure elements = -0.44 eV/atom; distance to the lowest polymorph of the same formula = 22 meV/atom
1.0
-3.583 -4.574 3.524
-3.459 -1.542 -5.519
8.810 -3.476 -2.107
Pb Ac Dy
6 4 2
Direct
0.968 0.428 0.699
0.621 0.250 0.000
0.270 0.072 0.301
0.379 0.750 0.000
0.032 0.572 0.301
0.730 0.928 0.699
0.457 0.390 0.660
0.797 0.110 0.340
0.203 0.890 0.660
0.543 0.610 0.340
0.118 0.250 0.000
0.882 0.750 0.000

Record 20
Si2MoI (GGA-PBE, relaxed); space-group type = I-42d, No. 122; distance to the lowest polymorph of the same formula = 0 meV/atom
1.0
-5.106 -3.381 0.588
1.522 -3.177 -5.044
1.207 -7.218 1.159
I Si Mo
2 4 2
Direct
0.000 0.000 0.000
0.750 0.250 0.500
0.209 0.625 0.250
0.875 0.791 0.750
0.375 0.459 0.750
0.541 0.125 0.250
0.250 0.750 0.500
0.500 0.500 0.000

no.,volume (Å³/cell)
1,135.8
2,444.4
3,296.5
4,125.1
5,148.5
6,167.0
7,103.3
8,203.7
9,426.0
10,350.6
11,127.0
12,289.9
13,243.9
14,97.2
15,88.8
16,147.2
17,579.1
18,105.1
19,403.1
20,227.0